# 1
A plane-wave DFT calculation with PBE was carried out for crystalline Li7TlSn2 at its relaxed geometry.

Cell: 4.7018 4.7018 10.2283 Å, 90.00 90.00 120.00°
Closest atoms and distances in Å follow each position.
Space group P3m1 (No. 156)
One atom of each set of equivalent atoms:
Li (0.0000, 0.0000, 0.0000) (multiplicity 1)  2 Li 2.43-2.58
Li (0.0000, 0.0000, 0.2372) (multiplicity 1)  1 Li 2.43, 1 Sn 2.61
Li (0.0000, 0.0000, 0.7475) (multiplicity 1)  4 Li 2.58-2.80, 1 Sn 2.61
Li (0.3333, 0.6667, 0.4280) (multiplicity 1)  3 Sn 2.79, 3 Li 2.98
Li (0.3333, 0.6667, 0.8165) (multiplicity 1)  3 Li 2.80, 3 Tl 2.88, 1 Sn 3.07
Li (0.6667, 0.3333, 0.3080) (multiplicity 1)  7 Li 2.81-2.98
Li (0.6667, 0.3333, 0.5955) (multiplicity 1)  3 Sn 2.91, 7 Li 2.94-3.21, 1 Tl 3.23
Tl (0.6667, 0.3333, 0.9111) (multiplicity 1)  9 Li 2.86-3.19
Sn (0.0000, 0.0000, 0.4925) (multiplicity 1)  8 Li 2.61-2.91
Sn (0.3333, 0.6667, 0.1162) (multiplicity 1)  8 Li 2.96-3.19

Calculated values
Raw total energy = -2.6035 eV/atom
Total magnetization = 0.00 μB per cell

***

# 2
A plane-wave DFT calculation with PBE was carried out for crystalline Np2TaMnN5 at its relaxed geometry.

Cell: 3.1553 12.8116 10.1038 Å, 90.00 90.00 90.00°
Closest atoms and distances in Å follow each position.
Space group Cmc2_1 (No. 36)
One atom of each set of equivalent atoms:
Np (0.0000, 0.1015, 0.0000) (multiplicity 4)  6 N 2.27-2.48
Np (0.0000, 0.1467, 0.6221) (multiplicity 4)  7 N 2.33-2.51
Ta (0.0000, 0.2033, 0.3262) (multiplicity 4)  6 N 2.06-2.17
Mn (0.0000, 0.4741, 0.7718) (multiplicity 4)  4 N 1.87-2.05
N (0.0000, 0.0490, 0.3821) (multiplicity 4)  2 Mn 1.95, 1 Ta 2.06
N (0.0000, 0.2805, 0.9726) (multiplicity 4)  2 Ta 2.17, 3 Np 2.31-2.37
N (0.0000, 0.3239, 0.6853) (multiplicity 4)  1 Mn 2.11, 2 Ta 2.15, 1 Np 2.36
N (0.0000, 0.3696, 0.3137) (multiplicity 4)  1 Mn 2.05, 1 Ta 2.13
N (0.0000, 0.4853, 0.0937) (multiplicity 4)  1 Mn 1.87

Calculated values
Raw total energy = -10.7912 eV/atom
ΔE_f (raw) = -0.9545 eV/atom
Total magnetization = 3.55 μB per cell

***

# 3
A plane-wave DFT calculation with PBE was carried out for crystalline La2ScP at its relaxed geometry.

Cell: 3.6167 4.4688 12.6636 Å, 90.00 90.00 90.00°
Closest atoms and distances in Å follow each position.
Space group Immm (No. 71)
One atom of each set of equivalent atoms:
La (0.0000, 0.0000, 0.1936) (multiplicity 4)  2 P 3.05, 4 La 3.21, 2 Sc 3.32
Sc (0.0000, 0.5000, 0.0000) (multiplicity 2)  4 P 2.87
P (0.0000, 0.5000, 0.5000) (multiplicity 2)  4 Sc 2.87, 4 La 3.05

Calculated values
Raw total energy = -5.8351 eV/atom
Total magnetization = 0.00 μB per cell

***

# 4
A plane-wave DFT calculation with PBE was carried out for crystalline RbBSe2N at its relaxed geometry.

Cell: 6.6880 6.6880 2.6786 Å, 90.00 90.00 90.00°
Closest atoms and distances in Å follow each position.
Space group P4/mmm (No. 123)
One atom of each set of equivalent atoms:
Rb (0.0000, 0.0000, 0.0000) (multiplicity 1)  2 Rb 2.68
B (0.5000, 0.5000, 0.5000) (multiplicity 1)  2 N 1.34
Se (0.0000, 0.5000, 0.5000) (multiplicity 2)  2 Se 2.68
N (0.5000, 0.5000, 0.0000) (multiplicity 1)  2 B 1.34

Calculated values
Raw total energy = -4.7583 eV/atom
ΔE_f (raw) = -0.1704 eV/atom
Total magnetization = 0.00 μB per cell
Relative energy among the computed polymorphs = 0 meV/atom

***

# 5
A plane-wave DFT calculation with PBE was carried out for crystalline LaTlTc2 at its relaxed geometry.

Cell: 3.3611 3.3611 24.8964 Å, 90.00 90.00 120.00°
Closest atoms and distances in Å follow each position.
Space group R-3m (No. 166, hexagonal axes)
One atom of each set of equivalent atoms:
La (0.0000, 0.0000, 0.0000) (multiplicity 3)  6 Tc 2.81
Tl (0.0000, 0.0000, 0.5000) (multiplicity 3)  6 Tc 2.88
Tc (0.0000, 0.0000, 0.2519) (multiplicity 6)  3 La 2.81, 3 Tl 2.88

Calculated values
Raw total energy = -6.2200 eV/atom
Total magnetization = 0.58 μB per cell
Relative energy among the computed polymorphs = 681 meV/atom

***

Which of these has the lowest raw total energy?
Np2TaMnN5

***

Which of these has the highest raw total energy?
Li7TlSn2

***

Which of these has the highest total magnetization?
Np2TaMnN5